Compound: La2CdIn
Source: the Alexandria database
Functional: GGA-PBEsol
Structure: relaxed

Structure (POSCAR):
```
La2CdIn
1.0
3.7996 0.0000 0.0000
0.0000 3.7996 0.0000
0.0000 0.0000 8.0396
La Cd In
2 1 1
direct
0.0000 0.0000 0.2490
0.0000 0.0000 0.7510
0.5000 0.5000 0.0000
0.5000 0.5000 0.5000
```

Computed properties:
crystal system	tetragonal
Fermi-level density of states	1.2122	states/eV/atom
formation enthalpy at 0 K	-1.68	eV/f.u.
E	-4.1378	eV/atom
volume	116	Å³/cell
total moment	0.00	μB/cell